Entry 1:
Below is a crystal of PRuNCl2 relaxed with PBEsol, with properties calculated at the meta-GGA SCAN level.

```
5
Lattice="5.308 0.000 0.000 0.000 5.308 0.000 0.000 0.000 3.214" Properties=species:S:1:pos:R:3 pbc="T T T"
P 0.000 0.000 0.000
Ru 2.654 2.654 0.000
N 0.000 0.000 1.607
Cl 0.000 2.654 1.607
Cl 2.654 0.000 1.607
```



Entry 2:
Below is a crystal of PSNCl2 relaxed with PBEsol, with properties calculated at the meta-GGA SCAN level.

```
5
Lattice="4.723 0.000 0.000 0.000 4.723 0.000 0.000 0.000 4.465" Properties=species:S:1:pos:R:3 pbc="T T T"
P 0.000 0.000 0.000
S 0.000 0.000 2.233
N 2.362 2.362 2.233
Cl 0.000 2.362 0.000
Cl 2.362 0.000 0.000
```



Entry 3:
Below is a crystal of ScPNCl2 relaxed with PBEsol, with properties calculated at the meta-GGA SCAN level.

```
5
Lattice="4.828 0.000 0.000 0.000 4.828 0.000 0.000 0.000 5.353" Properties=species:S:1:pos:R:3 pbc="T T T"
Sc 0.000 0.000 0.000
P 0.000 0.000 2.677
N 2.414 2.414 2.677
Cl 0.000 2.414 0.000
Cl 2.414 0.000 0.000
```



Entry 4:
Below is a crystal of SiP2NCl relaxed with PBEsol, with properties calculated at the meta-GGA SCAN level.

```
5
Lattice="4.102 0.000 0.000 0.000 4.102 0.000 0.000 0.000 4.177" Properties=species:S:1:pos:R:3 pbc="T T T"
Si 0.000 0.000 0.000
P 0.000 2.051 2.088
P 2.051 0.000 2.088
N 2.051 2.051 2.088
Cl 2.051 2.051 0.000
```



Entry 5:
Below is a crystal of SnPNCl2 relaxed with PBEsol, with properties calculated at the meta-GGA SCAN level.

```
5
Lattice="5.690 0.000 0.000 0.000 5.690 0.000 0.000 0.000 3.229" Properties=species:S:1:pos:R:3 pbc="T T T"
Sn 0.000 0.000 0.000
P 2.845 2.845 0.000
N 2.845 2.845 1.615
Cl 0.000 2.845 1.615
Cl 2.845 0.000 1.615
```



Entry 6:
Below is a crystal of TaP2NCl12 relaxed with PBEsol, with properties calculated at the meta-GGA SCAN level.

```
32
Lattice="6.793 -4.419 0.000 6.793 4.419 0.000 -3.821 0.000 14.696" Properties=species:S:1:pos:R:3 pbc="T T T"
Ta 0.000 0.000 0.000
Ta -1.910 0.000 7.348
P 2.489 0.579 10.661
P 4.400 -0.579 3.313
P 5.366 0.579 11.383
P 7.276 -0.579 4.035
N 3.928 1.057 11.022
N 5.838 -1.057 3.674
Cl 0.497 0.293 2.275
Cl 1.645 1.849 9.433
Cl -1.570 0.466 14.143
Cl -1.413 -0.293 9.623
Cl 0.340 -0.466 6.795
Cl 4.376 2.132 7.157
Cl 4.345 1.199 2.450
Cl 1.320 0.483 12.247
Cl 7.300 2.132 0.191
Cl 3.231 -0.483 4.899
Cl 6.210 1.849 12.611
Cl 7.330 1.199 4.898
Cl 2.435 -1.199 9.798
Cl 3.555 -1.849 2.085
Cl 6.535 0.483 9.797
Cl 2.466 -2.132 14.505
Cl 8.445 -0.483 2.449
Cl 5.420 -1.199 12.246
Cl 5.390 -2.132 7.539
Cl 9.426 0.466 7.900
Cl 11.178 0.293 5.073
Cl 11.336 -0.466 0.553
Cl 8.121 -1.849 5.263
Cl 9.268 -0.293 12.421
```



Entry 7:
Below is a crystal of TaP2NCl relaxed with PBEsol, with properties calculated at the meta-GGA SCAN level.

```
5
Lattice="3.855 0.000 0.000 0.000 3.855 0.000 0.000 0.000 4.419" Properties=species:S:1:pos:R:3 pbc="T T T"
Ta 0.000 0.000 0.000
P 0.000 1.927 2.209
P 1.927 0.000 2.209
N 1.927 1.927 2.209
Cl 1.927 1.927 0.000
```



Entry 8:
Below is a crystal of TaPNCl7 relaxed with PBEsol, with properties calculated at the meta-GGA SCAN level.

```
40
Lattice="6.665 0.000 0.000 0.000 11.157 0.000 -3.883 0.000 14.715" Properties=species:S:1:pos:R:3 pbc="T T T"
Ta -0.353 0.907 1.752
Ta -2.295 4.672 9.110
Ta 5.076 6.485 5.605
Ta 3.135 10.250 12.963
P 1.290 0.765 4.663
P -0.652 4.814 12.021
P 3.433 6.343 2.694
P 1.492 10.392 10.052
N 0.649 1.180 3.311
N -1.292 4.399 10.668
N 4.074 6.758 4.046
N 2.132 9.977 11.404
Cl -2.753 1.196 12.328
Cl -0.812 4.382 4.971
Cl -1.598 2.756 7.976
Cl 0.343 2.823 0.618
Cl -1.969 5.604 13.285
Cl -0.028 11.131 5.927
Cl -0.457 5.849 7.938
Cl 1.485 10.886 0.581
Cl 0.421 7.468 5.079
Cl -1.521 9.268 12.436
Cl 0.064 0.597 10.237
Cl 2.006 4.982 2.879
Cl 2.597 7.855 1.728
Cl 0.656 8.881 9.085
Cl 2.126 2.276 5.630
Cl 0.185 3.302 12.987
Cl 0.776 6.175 11.836
Cl 2.718 10.560 4.478
Cl 4.302 1.889 2.279
Cl 2.361 3.689 9.636
Cl 1.297 0.271 14.134
Cl 3.238 5.308 6.777
Cl 2.809 0.026 8.788
Cl 4.751 5.553 1.430
Cl 2.438 8.334 14.097
Cl 4.380 8.401 6.739
Cl 3.593 6.775 9.744
Cl 5.535 9.960 2.387
```



Entry 9:
Below is a crystal of TeP2NCl relaxed with PBEsol, with properties calculated at the meta-GGA SCAN level.

```
5
Lattice="5.126 0.000 0.000 0.000 5.126 0.000 0.000 0.000 5.400" Properties=species:S:1:pos:R:3 pbc="T T T"
Te 0.000 0.000 0.000
P 0.000 2.563 0.000
P 2.563 0.000 0.000
N 2.563 2.563 2.700
Cl 0.000 0.000 2.700
```



Entry 10:
Below is a crystal of P2WNCl relaxed with PBEsol, with properties calculated at the meta-GGA SCAN level.

```
5
Lattice="4.628 0.000 0.000 0.000 4.628 0.000 0.000 0.000 4.851" Properties=species:S:1:pos:R:3 pbc="T T T"
P 0.000 2.314 0.000
P 2.314 0.000 0.000
W 0.000 0.000 0.000
N 2.314 2.314 2.425
Cl 0.000 0.000 2.425
```



Entry 11:
Below is a crystal of PWNCl2 relaxed with PBEsol, with properties calculated at the meta-GGA SCAN level.

```
5
Lattice="4.083 0.000 0.000 0.000 4.083 0.000 0.000 0.000 4.114" Properties=species:S:1:pos:R:3 pbc="T T T"
P 0.000 0.000 0.000
W 2.042 2.042 0.000
N 0.000 0.000 2.057
Cl 0.000 2.042 2.057
Cl 2.042 0.000 2.057
```



Entry 12:
Below is a crystal of Zn3P6N12Cl relaxed with PBEsol, with properties calculated at the meta-GGA SCAN level.

```
22
Lattice="5.809 3.354 2.386 -5.809 3.354 2.386 0.000 -6.708 2.386" Properties=species:S:1:pos:R:3 pbc="T T T"
Zn 0.000 -2.400 2.386
Zn -2.078 1.200 2.386
Zn 2.078 1.200 2.386
P -1.426 -2.496 5.098
P -2.874 0.013 5.098
P 1.426 -2.496 5.098
P -1.448 2.483 5.098
P 2.874 0.013 5.098
P 1.448 2.483 5.098
N -1.592 -2.789 3.486
N -3.211 0.016 3.486
N 1.592 -2.789 3.486
N -1.620 2.773 3.486
N -2.633 -1.520 5.642
N 0.000 -1.841 5.350
N -1.594 0.920 5.350
N 3.211 0.016 3.486
N 1.619 2.773 3.486
N 1.594 0.920 5.350
N 2.633 -1.520 5.642
N 0.000 3.040 5.642
Cl 0.000 0.000 1.854
```



Number 1: formation energy without anion corrections 1138 meV/atom. Number 2: formation energy without anion corrections 1032 meV/atom. Number 3: formation energy without anion corrections -46 meV/atom. Number 4: formation energy without anion corrections 1267 meV/atom. Number 5: formation energy without anion corrections 379 meV/atom. Number 6: formation energy without anion corrections -1042 meV/atom. Number 7: formation energy without anion corrections 965 meV/atom. Number 8: formation energy without anion corrections -1130 meV/atom. Number 9: formation energy without anion corrections 1745 meV/atom. Number 10: formation energy without anion corrections 1175 meV/atom. Number 11: formation energy without anion corrections 1778 meV/atom. Number 12: formation energy without anion corrections -639 meV/atom.